Material: Ca3Hg2Rh
Method: DFT, PBE-GGA
State: relaxed

a b c (Å): 8.1001 8.1001 7.4935
angles (deg): 90.00 90.00 142.95
With the nearest neighbours (Å) after each atom.
Positions (direct):
Ca 0.0000 0.0000 0.2354  2 Rh 3.08, 6 Hg 3.12-3.25
Ca 0.0000 0.0000 0.7646  2 Rh 3.08, 6 Hg 3.12-3.25
Ca 0.3268 0.6732 0.2268  3 Rh 3.02-3.09, 5 Hg 3.16-3.36
Ca 0.3268 0.6732 0.7732  3 Rh 3.02-3.09, 5 Hg 3.16-3.36
Ca 0.6732 0.3268 0.2268  3 Rh 3.02-3.09, 5 Hg 3.16-3.36
Ca 0.6732 0.3268 0.7732  3 Rh 3.02-3.09, 5 Hg 3.16-3.36
Hg 0.1652 0.8348 0.5000  8 Ca 3.22-3.29
Hg 0.5000 0.5000 0.0000  8 Ca 3.12-3.16
Hg 0.5000 0.5000 0.5000  8 Ca 3.25-3.36, 4 Hg 3.61
Hg 0.8348 0.1652 0.5000  8 Ca 3.22-3.29
Rh 0.1642 0.8358 0.0000  8 Ca 3.02-3.09
Rh 0.8358 0.1642 0.0000  8 Ca 3.02-3.09

Output
DFT total energy (eV/atom): -2.7897
D(E_F) (states/eV per cell): 6.186
Total magnetization (μB per cell): 0.000
Energy of formation from the pure elements (meV/atom): -463

Material: Ca8Hg2Rh
Method: DFT, PBE-GGA
State: relaxed

a b c (Å): 9.0462 9.0462 9.0462
angles (deg): 147.74 119.61 70.14
With the nearest neighbours (Å) after each atom.
Positions (direct):
Ca 0.1125 0.3403 0.7722  3 Hg 3.29-3.32, 1 Rh 3.42, 4 Ca 3.48-3.57
Ca 0.1220 0.1220 0.0000  2 Rh 3.10, 2 Ca 3.42
Ca 0.3191 0.0000 0.3191  2 Hg 3.28, 7 Ca 3.29-3.48
Ca 0.4319 0.6597 0.7722  3 Hg 3.29-3.32, 1 Rh 3.42, 4 Ca 3.48-3.57
Ca 0.5681 0.3403 0.2278  3 Hg 3.29-3.32, 1 Rh 3.42, 4 Ca 3.48-3.57
Ca 0.6809 0.0000 0.6809  2 Hg 3.28, 7 Ca 3.29-3.48
Ca 0.8780 0.8780 0.0000  2 Rh 3.10, 2 Ca 3.42
Ca 0.8875 0.6597 0.2278  3 Hg 3.29-3.32, 1 Rh 3.42, 4 Ca 3.48-3.57
Hg 0.3086 0.8086 0.5000  8 Ca 3.28-3.32
Hg 0.6914 0.1914 0.5000  8 Ca 3.28-3.32
Rh 0.0000 0.5000 0.5000  8 Ca 3.10-3.42

Output
DFT total energy (eV/atom): -2.3777
D(E_F) (states/eV per cell): 11.291
Total magnetization (μB per cell): 0.000
Energy of formation from the pure elements (meV/atom): -199

Material: Ca4HgRh2
Method: DFT, PBE-GGA
State: relaxed

a b c (Å): 5.1658 5.1658 15.2468
angles (deg): 90.00 90.00 120.02
With the nearest neighbours (Å) after each atom.
Positions (direct):
Ca 0.0000 0.0000 0.0000  6 Rh 3.13, 6 Ca 3.48-3.49
Ca 0.0000 0.0000 0.5000  6 Rh 3.13, 6 Ca 3.48-3.49
Ca 0.3330 0.6670 0.6183  1 Rh 2.75
Ca 0.3330 0.6670 0.8817  1 Rh 2.75
Ca 0.3339 0.6661 0.2500  2 Rh 2.87, 3 Hg 2.98
Ca 0.6661 0.3339 0.7500  2 Rh 2.87, 3 Hg 2.98
Ca 0.6670 0.3330 0.1183  1 Rh 2.75
Ca 0.6670 0.3330 0.3817  1 Rh 2.75
Hg 0.0007 0.9993 0.2500  3 Ca 2.98
Hg 0.9993 0.0007 0.7500  3 Ca 2.98
Rh 0.3337 0.6663 0.0618  2 Ca 2.75-2.87
Rh 0.3337 0.6663 0.4382  2 Ca 2.75-2.87
Rh 0.6663 0.3337 0.5618  2 Ca 2.75-2.87
Rh 0.6663 0.3337 0.9382  2 Ca 2.75-2.87

Output
DFT total energy (eV/atom): -3.6043
D(E_F) (states/eV per cell): 9.988
Total magnetization (μB per cell): 0.000
Energy of formation from the pure elements (meV/atom): -317

Material: Ca4HgRh
Method: DFT, PBE-GGA
State: relaxed

a b c (Å): 6.1960 6.1960 6.1960
angles (deg): 60.00 60.00 60.00
With the nearest neighbours (Å) after each atom.
Positions (direct):
Ca 0.3758 0.3758 0.3758  6 Ca 3.08-3.12
Ca 0.3758 0.3758 0.8726  6 Ca 3.08-3.12
Ca 0.3758 0.8726 0.3758  6 Ca 3.08-3.12
Ca 0.8726 0.3758 0.3758  6 Ca 3.08-3.12
Hg 0.0000 0.0000 0.0000  12 Ca 3.63, 4 Rh 3.79
Rh 0.7500 0.7500 0.7500  12 Ca 3.63, 4 Hg 3.79

Output
DFT total energy (eV/atom): -2.1065
D(E_F) (states/eV per cell): 7.647
Total magnetization (μB per cell): 0.000
Energy of formation from the pure elements (meV/atom): 503

What did the second record say?
Material: Ca8Hg2Rh
Method: DFT, PBE-GGA
State: relaxed

a b c (Å): 9.0462 9.0462 9.0462
angles (deg): 147.74 119.61 70.14
With the nearest neighbours (Å) after each atom.
Positions (direct):
Ca 0.1125 0.3403 0.7722  3 Hg 3.29-3.32, 1 Rh 3.42, 4 Ca 3.48-3.57
Ca 0.1220 0.1220 0.0000  2 Rh 3.10, 2 Ca 3.42
Ca 0.3191 0.0000 0.3191  2 Hg 3.28, 7 Ca 3.29-3.48
Ca 0.4319 0.6597 0.7722  3 Hg 3.29-3.32, 1 Rh 3.42, 4 Ca 3.48-3.57
Ca 0.5681 0.3403 0.2278  3 Hg 3.29-3.32, 1 Rh 3.42, 4 Ca 3.48-3.57
Ca 0.6809 0.0000 0.6809  2 Hg 3.28, 7 Ca 3.29-3.48
Ca 0.8780 0.8780 0.0000  2 Rh 3.10, 2 Ca 3.42
Ca 0.8875 0.6597 0.2278  3 Hg 3.29-3.32, 1 Rh 3.42, 4 Ca 3.48-3.57
Hg 0.3086 0.8086 0.5000  8 Ca 3.28-3.32
Hg 0.6914 0.1914 0.5000  8 Ca 3.28-3.32
Rh 0.0000 0.5000 0.5000  8 Ca 3.10-3.42

Output
DFT total energy (eV/atom): -2.3777
D(E_F) (states/eV per cell): 11.291
Total magnetization (μB per cell): 0.000
Energy of formation from the pure elements (meV/atom): -199

> The highest D(E_F) belongs to which entry?

Ca8Hg2Rh